No. 1
Below is a relaxed structure of In3Ga5Br12, with properties calculated at the PBE level.

a b c (Å): 15.529 15.529 15.529
angles (deg): 109.47 109.47 109.47
Positions (direct):
Br (0.787, 0.482, 0.382)
Br (0.482, 0.787, 0.882)
Br (0.518, 0.306, 0.900)
Br (0.400, 0.018, 0.306)
Br (0.018, 0.400, 0.806)
Br (0.306, 0.787, 0.406)
Br (0.400, 0.382, 0.594)
Br (0.194, 0.094, 0.713)
Br (0.600, 0.982, 0.694)
Br (0.694, 0.482, 0.600)
Br (0.906, 0.806, 0.787)
Br (0.882, 0.287, 0.482)
Br (0.900, 0.094, 0.882)
Br (0.118, 0.406, 0.100)
Br (0.806, 0.900, 0.018)
Br (0.306, 0.518, 0.400)
Br (0.118, 0.713, 0.518)
Br (0.713, 0.594, 0.194)
Br (0.982, 0.600, 0.194)
Br (0.194, 0.100, 0.982)
Br (0.982, 0.382, 0.287)
Br (0.406, 0.118, 0.600)
Br (0.213, 0.518, 0.618)
Br (0.806, 0.906, 0.287)
Br (0.618, 0.600, 0.906)
Br (0.287, 0.406, 0.806)
Br (0.787, 0.306, 0.906)
Br (0.018, 0.618, 0.713)
Br (0.713, 0.118, 0.018)
Br (0.100, 0.906, 0.118)
Br (0.900, 0.806, 0.518)
Br (0.906, 0.100, 0.618)
Br (0.094, 0.900, 0.382)
Br (0.382, 0.982, 0.787)
Br (0.594, 0.882, 0.400)
Br (0.406, 0.287, 0.306)
Br (0.600, 0.618, 0.406)
Br (0.618, 0.018, 0.213)
Br (0.882, 0.594, 0.900)
Br (0.594, 0.713, 0.694)
Br (0.518, 0.213, 0.118)
Br (0.287, 0.882, 0.982)
Br (0.100, 0.194, 0.482)
Br (0.694, 0.213, 0.594)
Br (0.213, 0.694, 0.094)
Br (0.094, 0.194, 0.213)
Br (0.482, 0.694, 0.100)
Br (0.382, 0.400, 0.094)
Ga (0.500, 0.000, 0.000)
Ga (0.625, 0.750, 0.875)
Ga (0.500, 0.000, 0.500)
Ga (0.625, 0.875, 0.250)
Ga (0.375, 0.250, 0.125)
Ga (0.750, 0.625, 0.375)
Ga (0.375, 0.125, 0.750)
Ga (0.000, 0.000, 0.000)
Ga (0.000, 0.500, 0.500)
Ga (0.875, 0.625, 0.750)
Ga (0.500, 0.500, 0.000)
Ga (0.000, 0.500, 0.000)
Ga (0.125, 0.750, 0.375)
Ga (0.000, 0.000, 0.500)
Ga (0.250, 0.875, 0.125)
Ga (0.250, 0.375, 0.625)
Ga (0.500, 0.500, 0.500)
Ga (0.750, 0.125, 0.875)
Ga (0.125, 0.375, 0.250)
Ga (0.875, 0.250, 0.625)
In (0.125, 0.875, 0.750)
In (0.375, 0.625, 0.250)
In (0.625, 0.250, 0.375)
In (0.875, 0.125, 0.250)
In (0.875, 0.750, 0.125)
In (0.750, 0.875, 0.625)
In (0.250, 0.125, 0.375)
In (0.125, 0.250, 0.875)
In (0.375, 0.750, 0.625)
In (0.750, 0.375, 0.125)
In (0.625, 0.375, 0.750)
In (0.250, 0.625, 0.875)

Results
DFT total energy in eV/atom: -2.79
Density of states at the Fermi level in states/eV/f.u.: 4.49
Symmetry: No. 230

No. 2
Below is a relaxed structure of In3GaBr4, with properties calculated at the PBE level.

a b c (Å): 8.067 8.070 9.338
angles (deg): 90.00 90.00 109.48
Positions (direct):
In (0.250, 0.000, 0.628)
In (0.750, 0.000, 0.372)
In (0.750, 0.500, 0.124)
In (0.750, 0.500, 0.628)
In (0.250, 0.500, 0.372)
In (0.250, 0.500, 0.876)
Ga (0.250, 0.000, 0.124)
Ga (0.750, 0.000, 0.876)
Br (0.504, 0.240, 0.881)
Br (0.490, 0.243, 0.367)
Br (0.510, 0.757, 0.633)
Br (0.010, 0.757, 0.367)
Br (0.996, 0.760, 0.881)
Br (0.496, 0.760, 0.119)
Br (0.004, 0.240, 0.119)
Br (0.990, 0.243, 0.633)

Results
DFT total energy in eV/atom: -2.85
Symmetry: No. 13

No. 3
Below is a relaxed structure of In2Ga2Br, with properties calculated at the PBE level.

a b c (Å): 8.455 8.455 3.571
angles (deg): 90.00 90.00 90.00
Positions (direct):
In (0.808, 0.308, 0.500)
In (0.192, 0.692, 0.500)
In (0.308, 0.192, 0.500)
In (0.692, 0.808, 0.500)
Ga (0.390, 0.890, 0.000)
Ga (0.610, 0.110, 0.000)
Ga (0.110, 0.390, 0.000)
Ga (0.890, 0.610, 0.000)
Br (0.000, 0.000, 0.000)
Br (0.500, 0.500, 0.000)

Results
Distance to the lowest polymorph of the same formula in eV per formula unit: 0.00
Density of states at the Fermi level in states/eV/f.u.: 1.66
Symmetry: No. 127

No. 4
Below is a relaxed structure of In5GaBr6, with properties calculated at the PBE level.

a b c (Å): 8.107 8.107 8.103
angles (deg): 99.60 99.60 119.93
Positions (direct):
Br (0.762, 0.762, 0.251)
Br (0.238, 0.238, 0.749)
Br (0.079, 0.401, 0.241)
Br (0.599, 0.921, 0.759)
Br (0.921, 0.599, 0.759)
Br (0.401, 0.079, 0.241)
In (0.667, 0.333, 0.000)
In (0.500, 0.500, 0.500)
In (0.833, 0.167, 0.500)
In (0.333, 0.667, 0.000)
In (0.167, 0.833, 0.500)
Ga (0.000, 0.000, 0.000)

Results
DFT total energy in eV/atom: -2.85
Symmetry: No. 12

No. 5
Below is a relaxed structure of In2GaBr, with properties calculated at the PBE level.

a b c (Å): 3.968 3.968 8.621
angles (deg): 76.69 76.69 60.00
Positions (direct):
Br (0.496, 0.496, 0.511)
In (0.259, 0.259, 0.222)
In (0.076, 0.076, 0.772)
Ga (0.668, 0.668, 0.996)

Results
Distance to the lowest polymorph of the same formula in eV per formula unit: 0.26
Density of states at the Fermi level in states/eV/f.u.: 1.32
Symmetry: No. 160

No. 6
Below is a relaxed structure of InGaBr, with properties calculated at the PBE level.

a b c (Å): 4.680 6.067 6.899
angles (deg): 74.04 90.04 75.76
Positions (direct):
Ga (0.756, 0.963, 0.113)
Ga (0.244, 0.037, 0.887)
Br (0.216, 0.486, 0.750)
Br (0.784, 0.514, 0.250)
In (0.227, 0.054, 0.345)
In (0.773, 0.946, 0.655)

Results
Distance to the lowest polymorph of the same formula in eV per formula unit: 0.04
Density of states at the Fermi level in states/eV/f.u.: 0.63
Symmetry: No. 2

No. 7
Below is a relaxed structure of InGaBr3, with properties calculated at the PBE level.

a b c (Å): 7.723 8.810 10.813
angles (deg): 90.00 93.91 90.00
Positions (direct):
Ga (0.933, 0.904, 0.562)
Ga (0.067, 0.096, 0.438)
Ga (0.567, 0.404, 0.938)
Ga (0.433, 0.596, 0.062)
Br (0.874, 0.992, 0.767)
Br (0.126, 0.008, 0.233)
Br (0.882, 0.318, 0.417)
Br (0.157, 0.686, 0.969)
Br (0.343, 0.186, 0.531)
Br (0.657, 0.814, 0.469)
Br (0.843, 0.314, 0.031)
Br (0.382, 0.182, 0.917)
Br (0.618, 0.818, 0.083)
Br (0.374, 0.508, 0.267)
Br (0.626, 0.492, 0.733)
Br (0.118, 0.682, 0.583)
In (0.026, 0.372, 0.764)
In (0.974, 0.628, 0.236)
In (0.474, 0.872, 0.736)
In (0.526, 0.128, 0.264)

Results
Distance to the lowest polymorph of the same formula in eV per formula unit: 0.00
Density of states at the Fermi level in states/eV/f.u.: 0.00
Symmetry: No. 14

No. 8
Below is a relaxed structure of InGaBr, with properties calculated at the PBE level.

a b c (Å): 7.572 6.222 7.065
angles (deg): 90.00 90.00 90.00
Positions (direct):
Br (0.750, 0.863, 0.000)
Br (0.750, 0.137, 0.500)
Br (0.250, 0.363, 0.500)
Br (0.250, 0.637, 0.000)
Ga (0.248, 0.000, 0.750)
Ga (0.748, 0.500, 0.250)
Ga (0.252, 0.000, 0.250)
Ga (0.752, 0.500, 0.750)
In (0.000, 0.250, 0.002)
In (0.500, 0.750, 0.502)
In (0.500, 0.250, 0.998)
In (0.000, 0.750, 0.498)

Results
Distance to the lowest polymorph of the same formula in eV per formula unit: 0.11
Density of states at the Fermi level in states/eV/f.u.: 0.65
Symmetry: No. 24

No. 9
Below is a relaxed structure of In2GaBr, with properties calculated at the PBE level.

a b c (Å): 3.610 5.439 5.439
angles (deg): 90.00 90.00 90.00
Positions (direct):
Br (0.500, 0.500, 0.500)
In (0.000, 0.500, 0.000)
In (0.000, 0.000, 0.500)
Ga (0.500, 0.000, 0.000)

Results
Distance to the lowest polymorph of the same formula in eV per formula unit: 0.26
Density of states at the Fermi level in states/eV/f.u.: 1.96
Symmetry: No. 123

No. 10
Below is a relaxed structure of In3GaBr, with properties calculated at the PBE level.

a b c (Å): 5.911 5.911 5.911
angles (deg): 90.00 90.00 90.00
Positions (direct):
In (0.500, 0.000, 0.000)
In (0.000, 0.000, 0.500)
In (0.000, 0.500, 0.000)
Br (0.000, 0.000, 0.000)
Ga (0.500, 0.500, 0.500)

Results
Distance to the lowest polymorph of the same formula in eV per formula unit: 2.01
Density of states at the Fermi level in states/eV/f.u.: 4.82
Symmetry: No. 221

No. 11
Below is a relaxed structure of InGaBr, with properties calculated at the PBE level.

a b c (Å): 7.683 3.760 13.862
angles (deg): 90.00 102.03 90.00
Positions (direct):
In (0.253, 0.000, 0.527)
In (0.253, 0.500, 0.027)
In (0.331, 0.500, 0.715)
In (0.331, 0.000, 0.215)
Br (0.696, 0.500, 0.676)
Br (0.860, 0.000, 0.465)
Br (0.860, 0.500, 0.965)
Br (0.696, 0.000, 0.176)
Ga (0.304, 0.000, 0.874)
Ga (0.304, 0.500, 0.374)
Ga (0.622, 0.500, 0.490)
Ga (0.622, 0.000, 0.990)

Results
Distance to the lowest polymorph of the same formula in eV per formula unit: 0.09
Density of states at the Fermi level in states/eV/f.u.: 0.62
Symmetry: No. 8

No. 12
Below is a relaxed structure of In2GaBr, with properties calculated at the PBE level.

a b c (Å): 3.698 6.037 4.996
angles (deg): 90.00 90.00 90.00
Positions (direct):
In (0.187, 0.000, 0.453)
In (0.687, 0.000, 0.952)
Ga (0.188, 0.500, 0.449)
Br (0.688, 0.500, 0.955)

Results
Distance to the lowest polymorph of the same formula in eV per formula unit: 0.12
Density of states at the Fermi level in states/eV/f.u.: 1.12
Symmetry: No. 6

No. 13
Below is a relaxed structure of In2GaBr, with properties calculated at the PBE level.

a b c (Å): 3.881 6.262 10.171
angles (deg): 71.82 90.15 72.41
Positions (direct):
Br (0.354, 0.775, 0.177)
Br (0.646, 0.225, 0.823)
In (0.000, 0.500, 0.000)
In (0.327, 0.849, 0.774)
In (0.500, 0.500, 0.500)
In (0.673, 0.151, 0.226)
Ga (0.169, 0.161, 0.452)
Ga (0.831, 0.839, 0.548)

Results
Distance to the lowest polymorph of the same formula in eV per formula unit: 0.00
Density of states at the Fermi level in states/eV/f.u.: 1.91
Symmetry: No. 2

No. 14
Below is a relaxed structure of In2Ga2Br, with properties calculated at the PBE level.

a b c (Å): 8.431 8.431 3.677
angles (deg): 90.00 90.00 90.00
Positions (direct):
Br (0.500, 0.500, 0.000)
Br (0.000, 0.000, 0.000)
In (0.689, 0.189, 0.000)
In (0.311, 0.811, 0.000)
In (0.189, 0.311, 0.000)
In (0.811, 0.689, 0.000)
Ga (0.888, 0.388, 0.500)
Ga (0.612, 0.888, 0.500)
Ga (0.388, 0.112, 0.500)
Ga (0.112, 0.612, 0.500)

Results
Distance to the lowest polymorph of the same formula in eV per formula unit: 0.01
Density of states at the Fermi level in states/eV/f.u.: 2.08
Symmetry: No. 127

No. 15
Below is a relaxed structure of InGaBr, with properties calculated at the PBE level.

a b c (Å): 4.692 6.230 6.875
angles (deg): 78.17 90.02 67.86
Positions (direct):
In (0.352, 0.017, 0.406)
In (0.803, 0.115, 0.664)
Br (0.406, 0.567, 0.034)
Br (0.855, 0.566, 0.534)
Ga (0.792, 0.110, 0.131)
Ga (0.335, 0.024, 0.939)

Results
Distance to the lowest polymorph of the same formula in eV per formula unit: 0.07
Density of states at the Fermi level in states/eV/f.u.: 0.65
Symmetry: No. 1

No. 16
Below is a relaxed structure of In2Ga2Br, with properties calculated at the PBE level.

a b c (Å): 4.097 4.097 8.220
angles (deg): 75.57 75.57 90.00
Positions (direct):
Br (0.000, 0.000, 0.000)
In (0.397, 0.397, 0.206)
In (0.603, 0.603, 0.794)
Ga (0.750, 0.250, 0.500)
Ga (0.250, 0.750, 0.500)

Results
Distance to the lowest polymorph of the same formula in eV per formula unit: 0.15
Density of states at the Fermi level in states/eV/f.u.: 3.59
Symmetry: No. 139

No. 17
Below is a relaxed structure of InGa2Br8, with properties calculated at the PBE level.

a b c (Å): 6.658 7.915 9.813
angles (deg): 113.78 88.67 90.00
Each line ends with the local moment (μB).
Positions (direct):
Br (0.234, 0.140, 0.281)  0.02
Br (0.274, 0.683, 0.842)  0.03
Br (0.726, 0.317, 0.158)  0.03
Br (0.766, 0.860, 0.719)  0.02
Br (0.274, 0.159, 0.842)  0.03
Br (0.726, 0.841, 0.158)  0.03
Br (0.685, 0.270, 0.540)  0.01
Br (0.315, 0.730, 0.460)  0.01
In (0.000, 0.000, 0.000)  0.15
Ga (0.591, 0.148, 0.295)  0.00
Ga (0.409, 0.852, 0.705)  0.00

Results
Distance to the lowest polymorph of the same formula in eV per formula unit: 0.03
Density of states at the Fermi level in states/eV/f.u.: 5.80
Symmetry: No. 12

No. 18
Below is a relaxed structure of InGa2Br3, with properties calculated at the PBE level.

a b c (Å): 4.563 4.563 10.206
angles (deg): 102.93 102.93 90.00
Positions (direct):
Br (0.261, 0.261, 0.526)
Br (0.609, 0.609, 0.222)
Br (0.934, 0.936, 0.874)
Ga (0.764, 0.766, 0.534)
Ga (0.104, 0.106, 0.214)
In (0.434, 0.436, 0.874)

Results
Distance to the lowest polymorph of the same formula in eV per formula unit: 0.00
Density of states at the Fermi level in states/eV/f.u.: 0.00
Symmetry: No. 42

No. 19
Below is a relaxed structure of InGaBr, with properties calculated at the PBE level.

a b c (Å): 12.085 4.228 7.389
angles (deg): 90.00 104.29 90.00
Positions (direct):
Ga (0.081, 0.000, 0.281)
Ga (0.007, 0.500, 0.085)
Ga (0.081, 0.500, 0.781)
Ga (0.007, 0.000, 0.585)
Br (0.787, 0.000, 0.470)
Br (0.787, 0.500, 0.970)
Br (0.417, 0.500, 0.156)
Br (0.417, 0.000, 0.656)
In (0.223, 0.500, 0.513)
In (0.223, 0.000, 0.013)
In (0.605, 0.500, 0.563)
In (0.605, 0.000, 0.063)

Results
Distance to the lowest polymorph of the same formula in eV per formula unit: 0.00
Density of states at the Fermi level in states/eV/f.u.: 0.80
Symmetry: No. 8

No. 20
Below is a relaxed structure of In2GaBr, with properties calculated at the PBE level.

a b c (Å): 5.342 5.342 5.342
angles (deg): 60.00 60.00 60.00
Positions (direct):
Br (0.500, 0.500, 0.500)
In (0.250, 0.250, 0.250)
In (0.750, 0.750, 0.750)
Ga (0.000, 0.000, 0.000)

Results
Distance to the lowest polymorph of the same formula in eV per formula unit: 0.77
Density of states at the Fermi level in states/eV/f.u.: 2.14
Symmetry: No. 225